# 1
Rb2YNF | PBE | optimized geometry

Unit cell a=7.441 b=7.441 c=4.333 alpha=90.00 beta=90.00 gamma=90.00
Space group P4/mmm (No. 123)
Symmetry-distinct sites (fractional):
Rb  0.000  0.500  0.000 (multiplicity 2)
Y  0.000  0.000  0.000 (multiplicity 1)
N  0.500  0.500  0.500 (multiplicity 1)
F  0.000  0.000  0.500 (multiplicity 1)

Summary:
DFT total energy in eV/cell: -16.95
Crystal system: tetragonal


# 2
YFeHg2 | PBE | optimized geometry

Unit cell a=4.520 b=4.520 c=8.296 alpha=90.00 beta=90.00 gamma=90.00
Space group I4/mmm (No. 139)
Symmetry-distinct sites (fractional):
Y  0.000  0.000  0.000 (multiplicity 2)
Fe  0.000  0.000  0.500 (multiplicity 2)
Hg  0.000  0.500  0.250 (multiplicity 4)

Summary:
E_form in eV per formula unit: -0.023
DFT total energy in eV/cell: -31.11
Crystal system: tetragonal